(1)
Density functional theory data (PBE) for a geometry-optimized Nb3ZnTe structure.

Properties
As for the formation energy from raw total energies: 1045 meV/atom. As for the symmetry: Pm-3m, No. 221. For the excess energy over the best structure of this formula in the dataset, the calculation gives 0.0 meV per atom.

Structure (POSCAR):
```
Nb3ZnTe
1.0
4.768 0.000 0.000
0.000 4.768 0.000
0.000 0.000 4.768
Te Nb Zn
1 3 1
Direct
0.500 0.500 0.500
0.500 0.000 0.000
0.000 0.000 0.500
0.000 0.500 0.000
0.000 0.000 0.000
```

---

(2)
Density functional theory data (PBE) for a geometry-optimized PuHPtRh2 structure.

Properties
The calculation puts the total energy at -8.1002 eV per atom. As for the symmetry: P4/mmm, No. 123.

Structure (POSCAR):
```
PuHPtRh2
1.0
3.992 0.000 0.000
0.000 4.201 0.000
0.000 0.000 4.201
H Pu Rh Pt
1 1 2 1
Direct
0.000 0.000 0.000
0.500 0.500 0.500
0.000 0.500 0.000
0.000 0.000 0.500
0.500 0.000 0.000
```